1.
{"formula": "SmMg2Sb", "functional": "PBE-GGA", "state": "relaxed", "dft_energy_ev_per_cell": -13.931, "mass_density_g_cm3": 5.29, "raw_formation_energy_mev_per_atom": -475, "spacegroup": "No. 123", "lattice": [[-1.9591, 0.5675, 4.4490], [-3.1952, -3.0525, -1.0176], [2.6568, -3.3118, 1.5924]], "species": ["Sb", "Mg", "Mg", "Sm"], "fractional_positions": [[0.5000, 0.5000, 0.5000], [0.0000, 0.0000, 0.5000], [0.0000, 0.5000, 0.0000], [0.5000, 0.0000, 0.0000]]}

=====

2.
{"formula": "Nd4Tl2Br3", "functional": "PBE-GGA", "state": "relaxed", "dft_energy_ev_per_cell": -37.543, "mass_density_g_cm3": 6.77, "raw_formation_energy_mev_per_atom": -969, "spacegroup": "No. 164", "lattice": [[-0.7848, 3.3112, 2.6259], [-3.1977, -1.7269, -2.2953], [-3.5965, -11.9650, 14.0119]], "species": ["Nd", "Nd", "Nd", "Nd", "Tl", "Tl", "Br", "Br", "Br"], "fractional_positions": [[0.3333, 0.6667, 0.9045], [0.0000, 0.0000, 0.3078], [0.0000, 0.0000, 0.6922], [0.6667, 0.3333, 0.0955], [0.6667, 0.3333, 0.7980], [0.3333, 0.6667, 0.2020], [0.6666, 0.3334, 0.4015], [0.0000, 0.0000, 0.0000], [0.3334, 0.6666, 0.5985]]}

=====

3.
{"formula": "CaCo2Sn2", "functional": "PBE-GGA", "state": "relaxed", "dft_energy_ev_per_cell": -49.165, "mass_density_g_cm3": 7.33, "spacegroup": "No. 127", "lattice": [[7.6131, 0.0000, 0.0000], [0.0000, 7.6131, 0.0000], [0.0000, 0.0000, 3.0893]], "species": ["Ca", "Ca", "Co", "Co", "Co", "Co", "Sn", "Sn", "Sn", "Sn"], "fractional_positions": [[0.0000, 0.0000, 0.0000], [0.5000, 0.5000, 0.0000], [0.3670, 0.8670, 0.0000], [0.8670, 0.6330, 0.0000], [0.6330, 0.1330, 0.0000], [0.1330, 0.3670, 0.0000], [0.1568, 0.6568, 0.5000], [0.6568, 0.8432, 0.5000], [0.8432, 0.3432, 0.5000], [0.3432, 0.1568, 0.5000]]}

=====

4.
{"formula": "TbPm2Ir", "functional": "PBE-GGA", "state": "relaxed", "dft_energy_ev_per_cell": -98.435, "mass_density_g_cm3": 8.33, "spacegroup": "No. 52", "lattice": [[6.4188, 0.0000, 0.0000], [0.0000, 6.8533, -0.0028], [0.0000, 0.0060, 11.6261]], "species": ["Tb", "Tb", "Tb", "Tb", "Pm", "Pm", "Pm", "Pm", "Pm", "Pm", "Pm", "Pm", "Ir", "Ir", "Ir", "Ir"], "fractional_positions": [[0.2499, 0.5681, 0.2499], [0.7501, 0.4319, 0.7501], [0.7499, 0.9319, 0.2501], [0.2501, 0.0681, 0.7499], [0.7482, 0.9116, 0.9145], [0.2518, 0.0884, 0.0855], [0.2482, 0.5884, 0.5855], [0.7518, 0.4116, 0.4145], [0.7480, 0.4115, 0.0856], [0.2520, 0.5885, 0.9144], [0.2480, 0.0885, 0.4144], [0.7520, 0.9115, 0.5856], [0.0000, 0.2500, 0.5907], [0.0000, 0.7500, 0.4093], [0.5000, 0.2500, 0.9093], [0.5000, 0.7500, 0.0907]]}

=====

5.
{"formula": "GaIF3", "functional": "PBE-GGA", "state": "relaxed", "dft_energy_ev_per_cell": -40.518, "mass_density_g_cm3": 4.18, "raw_formation_energy_mev_per_atom": -2014, "spacegroup": "No. 11", "lattice": [[-7.1182, 4.5544, -2.6234], [-0.6655, -2.6454, -2.6693], [-3.3780, -3.0522, 3.8670]], "species": ["Ga", "Ga", "I", "I", "F", "F", "F", "F", "F", "F"], "fractional_positions": [[0.4999, 0.0000, 0.2500], [0.5001, 0.0000, 0.7500], [0.0021, 0.5000, 0.2500], [0.9979, 0.5000, 0.7500], [0.6404, 0.0033, 0.4999], [0.3596, 0.9967, 0.5001], [0.6404, 0.0033, 0.0001], [0.3596, 0.9967, 0.9999], [0.4999, 0.5000, 0.2500], [0.5001, 0.5000, 0.7500]]}

=====

6.
{"formula": "HgAs2Pb", "functional": "PBE-GGA", "state": "relaxed", "dft_energy_ev_per_cell": -12.610, "mass_density_g_cm3": 9.32, "spacegroup": "No. 166", "lattice": [[7.1325, -0.7780, -0.4593], [6.3885, 3.2658, -0.4593], [6.3885, 1.1755, 3.0814]], "species": ["Pb", "As", "As", "Hg"], "fractional_positions": [[0.7500, 0.7500, 0.7500], [0.9936, 0.9936, 0.9936], [0.5064, 0.5064, 0.5064], [0.2500, 0.2500, 0.2500]]}